[1]
A relaxed CaPtS crystal, computed with PBE.

The calculated volume is 21.630 Å³ per atom. The uncorrected formation energy is -1.152 eV per atom. The calculation puts the energy at -15.6 eV/f.u. The spin magnetization comes out at 0.00 μB per cell.

abc: 4.387 5.640 5.641
angles: 88.99 75.24 74.37
Space group P-1 (No. 2)
Asymmetric unit:
Ca 0.008 0.251 0.245 (multiplicity 2)
Pt 0.407 0.692 0.197 (multiplicity 2)
S 0.157 0.211 0.713 (multiplicity 2)


[2]
A relaxed LaNi2Ir crystal, computed with PBE.

The calculation puts the formation energy from the elements at -0.38 eV per atom. The calculated volume is 19.165 Å³ per atom. The calculation puts the energy at -26.9 eV/f.u. The spin magnetization comes out at 0.00 μB per cell.

abc: 7.382 4.264 5.464
angles: 90.00 116.94 90.00
Space group Cm (No. 8)
Asymmetric unit:
La 0.000 0.000 0.000 (multiplicity 2)
Ni 0.011 0.500 0.535 (multiplicity 2)
Ni 0.314 0.500 0.446 (multiplicity 2)
Ir 0.188 0.000 0.567 (multiplicity 2)


[3]
A relaxed Sm12TlIn3 crystal, computed with PBE.

The calculation puts the formation energy from the elements at -0.25 eV per atom. The calculated volume is 30.048 Å³ per atom. The calculation puts the energy at -71.3 eV/f.u. The spin magnetization comes out at 0.00 μB per cell.

abc: 4.932 4.932 19.768
angles: 90.00 90.00 90.00
Space group P4/mmm (No. 123)
Asymmetric unit:
Sm 0.000 0.000 0.000 (multiplicity 1)
Sm 0.000 0.000 0.250 (multiplicity 2)
Sm 0.000 0.000 0.500 (multiplicity 1)
Sm 0.000 0.500 0.125 (multiplicity 4)
Sm 0.000 0.500 0.374 (multiplicity 4)
Tl 0.500 0.500 0.500 (multiplicity 1)
In 0.500 0.500 0.000 (multiplicity 1)
In 0.500 0.500 0.250 (multiplicity 2)